# 1
A plane-wave DFT calculation with PBE-GGA was carried out for a relaxed structure of BaTe2Os.

abc: 3.533 3.533 8.272
angles: 90.00 90.00 90.00
Sites, in units of the cell vectors:
Ba: 0.500 0.500 0.250
Os: 0.500 0.500 0.750
Te: 0.000 0.000 0.939
Te: 0.000 0.000 0.561

Calculated values
V ... 103.24 Å³ per cell
Crystal system ... tetragonal
E_form (uncorrected) ... 0.251 eV per atom
VASP energy ... -4.608 eV/atom

# 2
A plane-wave DFT calculation with PBE-GGA was carried out for a relaxed structure of PPtSeN2.

abc: 3.405 3.405 7.273
angles: 90.00 90.00 90.00
Each line ends with the local moment (μB).
Sites, in units of the cell vectors:
P: 0.000 0.000 0.000  -0.03
Se: 0.000 0.000 0.500  0.00
Pt: 0.500 0.500 0.500  0.00
N: 0.000 0.500 0.000  0.16
N: 0.500 0.000 0.000  0.16

Calculated values
V ... 84.30 Å³ per cell
Crystal system ... tetragonal
E_form (uncorrected) ... 0.875 eV per atom
VASP energy ... -5.442 eV/atom

# 3
A plane-wave DFT calculation with PBE-GGA was carried out for a relaxed structure of Tl3Hg12Sb5.

abc: 15.033 15.033 15.033
angles: 109.47 109.47 109.47
Sites, in units of the cell vectors:
Tl: 0.750 0.375 0.125
Tl: 0.875 0.750 0.125
Tl: 0.375 0.750 0.625
Tl: 0.250 0.125 0.375
Tl: 0.875 0.125 0.250
Tl: 0.375 0.625 0.250
Tl: 0.625 0.375 0.750
Tl: 0.125 0.875 0.750
Tl: 0.750 0.875 0.625
Tl: 0.625 0.250 0.375
Tl: 0.125 0.250 0.875
Tl: 0.250 0.625 0.875
Sb: 0.125 0.375 0.250
Sb: 0.000 0.500 0.000
Sb: 0.000 0.000 0.000
Sb: 0.375 0.250 0.125
Sb: 0.500 0.000 0.500
Sb: 0.500 0.500 0.000
Sb: 0.125 0.750 0.375
Sb: 0.750 0.125 0.875
Sb: 0.750 0.625 0.375
Sb: 0.375 0.125 0.750
Sb: 0.625 0.875 0.250
Sb: 0.500 0.500 0.500
Sb: 0.500 0.000 0.000
Sb: 0.000 0.000 0.500
Sb: 0.250 0.375 0.625
Sb: 0.250 0.875 0.125
Sb: 0.000 0.500 0.500
Sb: 0.875 0.250 0.625
Sb: 0.625 0.750 0.875
Sb: 0.875 0.625 0.750
Hg: 0.728 0.122 0.053
Hg: 0.325 0.553 0.432
Hg: 0.947 0.378 0.272
Hg: 0.553 0.228 0.122
Hg: 0.606 0.728 0.675
Hg: 0.947 0.568 0.175
Hg: 0.325 0.772 0.394
Hg: 0.068 0.894 0.122
Hg: 0.568 0.947 0.675
Hg: 0.728 0.606 0.175
Hg: 0.772 0.447 0.378
Hg: 0.825 0.932 0.053
Hg: 0.122 0.728 0.553
Hg: 0.378 0.432 0.106
Hg: 0.106 0.932 0.378
Hg: 0.394 0.122 0.568
Hg: 0.106 0.175 0.228
Hg: 0.447 0.675 0.068
Hg: 0.825 0.894 0.272
Hg: 0.122 0.394 0.068
Hg: 0.378 0.947 0.772
Hg: 0.568 0.622 0.394
Hg: 0.932 0.825 0.553
Hg: 0.772 0.325 0.894
Hg: 0.432 0.378 0.606
Hg: 0.068 0.175 0.447
Hg: 0.228 0.675 0.106
Hg: 0.175 0.106 0.728
Hg: 0.622 0.053 0.228
Hg: 0.878 0.606 0.932
Hg: 0.553 0.325 0.932
Hg: 0.606 0.878 0.432
Hg: 0.894 0.825 0.772
Hg: 0.894 0.068 0.622
Hg: 0.878 0.272 0.447
Hg: 0.175 0.068 0.947
Hg: 0.622 0.568 0.894
Hg: 0.432 0.053 0.325
Hg: 0.272 0.394 0.825
Hg: 0.228 0.553 0.622
Hg: 0.932 0.106 0.878
Hg: 0.675 0.228 0.606
Hg: 0.447 0.772 0.878
Hg: 0.053 0.432 0.825
Hg: 0.394 0.272 0.325
Hg: 0.053 0.622 0.728
Hg: 0.675 0.447 0.568
Hg: 0.272 0.878 0.947

Calculated values
V ... 2615.00 Å³ per cell
Crystal system ... cubic
E_form (uncorrected) ... 0.134 eV per atom
VASP energy ... -1.433 eV/atom

# 4
A plane-wave DFT calculation with PBE-GGA was carried out for a relaxed structure of TlTe2OsCl.

abc: 5.266 5.125 5.266
angles: 90.00 90.00 90.00
Sites, in units of the cell vectors:
Tl: 0.500 0.500 0.500
Te: 0.000 0.000 0.500
Te: 0.500 0.000 0.000
Os: 0.000 0.000 0.000
Cl: 0.000 0.500 0.000

Calculated values
V ... 142.13 Å³ per cell
Crystal system ... tetragonal
E_form (uncorrected) ... 0.274 eV per atom
VASP energy ... -4.071 eV/atom

# 5
A plane-wave DFT calculation with PBE-GGA was carried out for a relaxed structure of HfAl2Rh.

abc: 4.509 4.509 4.509
angles: 60.00 60.00 60.00
Each line ends with the local moment (μB).
Sites, in units of the cell vectors:
Rh: 0.000 0.000 0.000  0.33
Hf: 0.500 0.500 0.500  0.32
Al: 0.250 0.250 0.250  0.02
Al: 0.750 0.750 0.750  0.02

Calculated values
V ... 64.81 Å³ per cell
Crystal system ... cubic
VASP energy ... -6.631 eV/atom

# 6
A plane-wave DFT calculation with PBE-GGA was carried out for a relaxed structure of BaThPd2.

abc: 3.553 5.417 5.417
angles: 90.00 90.00 90.00
Sites, in units of the cell vectors:
Pd: 0.000 0.000 0.500
Pd: 0.000 0.500 0.000
Ba: 0.500 0.500 0.500
Th: 0.500 0.000 0.000

Calculated values
V ... 104.24 Å³ per cell
Crystal system ... tetragonal
VASP energy ... -5.380 eV/atom

# 7
A plane-wave DFT calculation with PBE-GGA was carried out for a relaxed structure of BaSn2Pd.

abc: 4.601 4.601 6.909
angles: 70.55 70.55 60.00
Sites, in units of the cell vectors:
Ba: 0.000 0.000 0.000
Pd: 0.500 0.500 0.500
Sn: 0.788 0.788 0.637
Sn: 0.212 0.212 0.363

Calculated values
V ... 116.94 Å³ per cell
Crystal system ... trigonal
VASP energy ... -4.456 eV/atom

# 8
A plane-wave DFT calculation with PBE-GGA was carried out for a relaxed structure of MgAlTe.

abc: 3.993 3.993 5.597
angles: 90.00 90.00 120.00
Sites, in units of the cell vectors:
Al: 0.000 0.000 0.985
Mg: 0.333 0.667 0.330
Te: 0.667 0.333 0.685

Calculated values
V ... 77.30 Å³ per cell
Crystal system ... trigonal
E_form (uncorrected) ... -0.150 eV per atom
VASP energy ... -2.976 eV/atom

# 9
A plane-wave DFT calculation with PBE-GGA was carried out for a relaxed structure of HfHgRh.

abc: 2.958 2.958 7.657
angles: 101.14 101.14 90.00
Sites, in units of the cell vectors:
Rh: 0.776 0.776 0.551
Hf: 0.936 0.936 0.871
Hg: 0.139 0.139 0.278

Calculated values
V ... 64.45 Å³ per cell
Crystal system ... tetragonal
VASP energy ... -5.513 eV/atom

# 10
A plane-wave DFT calculation with PBE-GGA was carried out for a relaxed structure of RbRuBr2.

abc: 8.716 8.716 8.716
angles: 34.94 34.94 34.94
Each line ends with the local moment (μB).
Sites, in units of the cell vectors:
Ru: 0.000 0.000 0.000  2.56
Br: 0.900 0.900 0.900  0.07
Br: 0.100 0.100 0.100  0.07
Rb: 0.500 0.500 0.500  0.01

Calculated values
V ... 193.92 Å³ per cell
Crystal system ... trigonal
E_form (uncorrected) ... -0.066 eV per atom
VASP energy ... -3.463 eV/atom

# 11
A plane-wave DFT calculation with PBE-GGA was carried out for a relaxed structure of Rb6TlCd3.

abc: 7.581 11.479 11.497
angles: 90.06 90.00 90.00
Sites, in units of the cell vectors:
Rb: 0.931 0.333 0.073
Rb: 0.934 0.333 0.426
Rb: 0.740 0.166 0.749
Rb: 0.260 0.834 0.251
Rb: 0.066 0.667 0.574
Rb: 0.069 0.667 0.927
Rb: 0.569 0.833 0.573
Rb: 0.566 0.833 0.926
Rb: 0.760 0.666 0.249
Rb: 0.240 0.334 0.751
Rb: 0.434 0.167 0.074
Rb: 0.431 0.167 0.427
Tl: 0.500 0.500 0.500
Tl: 0.000 0.000 0.000
Cd: 0.351 0.480 0.247
Cd: 0.500 0.500 0.000
Cd: 0.649 0.520 0.753
Cd: 0.149 0.980 0.747
Cd: 0.000 0.000 0.500
Cd: 0.851 0.020 0.253

Calculated values
V ... 1000.52 Å³ per cell
Crystal system ... monoclinic
VASP energy ... -1.082 eV/atom

# 12
A plane-wave DFT calculation with PBE-GGA was carried out for a relaxed structure of LiPtS2N.

abc: 5.047 5.047 3.656
angles: 90.00 90.00 90.00
Sites, in units of the cell vectors:
S: 0.000 0.500 0.000
S: 0.500 0.000 0.000
Li: 0.500 0.500 0.500
Pt: 0.000 0.000 0.000
N: 0.000 0.000 0.500

Calculated values
V ... 93.11 Å³ per cell
Crystal system ... tetragonal
E_form (uncorrected) ... 0.358 eV per atom
VASP energy ... -4.549 eV/atom

# 13
A plane-wave DFT calculation with PBE-GGA was carried out for a relaxed structure of NaZr4S8.

abc: 7.634 7.634 7.634
angles: 60.00 60.00 60.00
Sites, in units of the cell vectors:
Na: 0.750 0.750 0.750
Zr: 0.884 0.372 0.372
Zr: 0.372 0.884 0.372
Zr: 0.372 0.372 0.884
Zr: 0.372 0.372 0.372
S: 0.603 0.132 0.132
S: 0.132 0.603 0.132
S: 0.132 0.132 0.603
S: 0.132 0.132 0.132
S: 0.163 0.612 0.612
S: 0.612 0.163 0.612
S: 0.612 0.612 0.163
S: 0.612 0.612 0.612

Calculated values
V ... 314.64 Å³ per cell
Crystal system ... cubic
E_form (uncorrected) ... -1.500 eV per atom
VASP energy ... -6.772 eV/atom

# 14
A plane-wave DFT calculation with PBE-GGA was carried out for a relaxed structure of Pr3CuPt8.

abc: 5.484 5.484 9.487
angles: 73.20 73.20 60.00
Sites, in units of the cell vectors:
Pr: 0.622 0.622 0.135
Pr: 0.012 0.012 0.965
Pr: 0.491 0.491 0.526
Cu: 0.140 0.140 0.581
Pt: 0.562 0.058 0.817
Pt: 0.061 0.560 0.319
Pt: 0.562 0.562 0.817
Pt: 0.061 0.061 0.319
Pt: 0.810 0.810 0.569
Pt: 0.311 0.311 0.067
Pt: 0.058 0.562 0.817
Pt: 0.560 0.061 0.319

Calculated values
V ... 232.96 Å³ per cell
Crystal system ... trigonal
VASP energy ... -6.427 eV/atom

# 15
A plane-wave DFT calculation with PBE-GGA was carried out for a relaxed structure of Al3V12Ru.

abc: 4.787 4.794 9.615
angles: 90.00 90.00 90.00
Sites, in units of the cell vectors:
Al: 0.500 0.500 0.249
Al: 0.500 0.500 0.751
Al: 0.000 0.000 0.000
V: 0.500 0.000 0.379
V: 0.500 0.000 0.870
V: 0.743 0.500 0.000
V: 0.752 0.500 0.500
V: 0.000 0.754 0.254
V: 0.000 0.754 0.746
V: 0.500 0.000 0.130
V: 0.500 0.000 0.621
V: 0.257 0.500 0.000
V: 0.248 0.500 0.500
V: 0.000 0.246 0.254
V: 0.000 0.246 0.746
Ru: 0.000 0.000 0.500

Calculated values
V ... 220.66 Å³ per cell
Crystal system ... orthorhombic
VASP energy ... -8.311 eV/atom

# 16
A plane-wave DFT calculation with PBE-GGA was carried out for a relaxed structure of TlSbAu2.

abc: 5.074 5.074 5.074
angles: 60.00 60.00 60.00
Sites, in units of the cell vectors:
Sb: 0.000 0.000 0.000
Tl: 0.500 0.500 0.500
Au: 0.250 0.250 0.250
Au: 0.750 0.750 0.750

Calculated values
V ... 92.37 Å³ per cell
Crystal system ... cubic
E_form (uncorrected) ... 0.117 eV per atom
VASP energy ... -3.144 eV/atom

# 17
A plane-wave DFT calculation with PBE-GGA was carried out for a relaxed structure of LaZr2Cl.

abc: 3.290 3.290 9.276
angles: 90.00 90.00 90.00
Sites, in units of the cell vectors:
Cl: 0.000 0.000 0.469
La: 0.500 0.500 0.747
Zr: 0.000 0.000 0.027
Zr: 0.500 0.500 0.257

Calculated values
V ... 100.42 Å³ per cell
Crystal system ... tetragonal
E_form (uncorrected) ... -0.371 eV per atom
VASP energy ... -6.338 eV/atom

# 18
A plane-wave DFT calculation with PBE-GGA was carried out for a relaxed structure of Cd2HgI2.

abc: 9.191 9.191 4.036
angles: 90.00 90.00 90.00
Sites, in units of the cell vectors:
I: 0.352 0.852 0.000
I: 0.852 0.648 0.000
I: 0.648 0.148 0.000
I: 0.148 0.352 0.000
Hg: 0.000 0.000 0.000
Hg: 0.500 0.500 0.000
Cd: 0.151 0.651 0.500
Cd: 0.651 0.849 0.500
Cd: 0.849 0.349 0.500
Cd: 0.349 0.151 0.500

Calculated values
V ... 340.98 Å³ per cell
Crystal system ... tetragonal
E_form (uncorrected) ... -0.002 eV per atom
VASP energy ... -1.049 eV/atom

# 19
A plane-wave DFT calculation with PBE-GGA was carried out for a relaxed structure of Y19Er6Tm4.

abc: 10.773 10.773 10.773
angles: 109.47 109.47 109.47
Sites, in units of the cell vectors:
Y: 0.738 0.000 0.738
Y: 0.262 0.000 0.262
Y: 0.262 0.262 0.000
Y: 0.738 0.738 0.000
Y: 0.000 0.738 0.738
Y: 0.000 0.262 0.262
Y: 0.000 0.000 0.000
Y: 0.202 0.216 0.544
Y: 0.798 0.341 0.014
Y: 0.672 0.659 0.456
Y: 0.014 0.798 0.341
Y: 0.328 0.784 0.986
Y: 0.544 0.202 0.216
Y: 0.986 0.328 0.784
Y: 0.456 0.672 0.659
Y: 0.784 0.986 0.328
Y: 0.341 0.014 0.798
Y: 0.216 0.544 0.202
Y: 0.659 0.456 0.672
Er: 0.375 0.500 0.875
Er: 0.625 0.500 0.125
Er: 0.125 0.625 0.500
Er: 0.875 0.375 0.500
Er: 0.500 0.875 0.375
Er: 0.500 0.125 0.625
Tm: 0.000 0.000 0.644
Tm: 0.000 0.644 0.000
Tm: 0.356 0.356 0.356
Tm: 0.644 0.000 0.000

Calculated values
V ... 962.53 Å³ per cell
Crystal system ... cubic
VASP energy ... -5.409 eV/atom

# 20
A plane-wave DFT calculation with PBE-GGA was carried out for a relaxed structure of BeCdMo2.

abc: 3.145 3.145 6.261
angles: 90.00 90.00 90.00
Sites, in units of the cell vectors:
Be: 0.500 0.500 0.250
Mo: 0.000 0.000 0.065
Mo: 0.000 0.000 0.435
Cd: 0.500 0.500 0.750

Calculated values
V ... 61.92 Å³ per cell
Crystal system ... tetragonal
VASP energy ... -6.275 eV/atom